ReH4NO4 | SCAN | single point on PBEsol structure

Results
Raw total energy = -521.877 eV for the cell shown

Cell lengths 6.208, 6.208, 11.696 Å; angles 90.00, 90.00, 90.00 degrees
Space group I4_1/a (No. 88, origin choice 2)
Inequivalent atoms, fractional coordinates:
Re 0.000 0.250 0.125 [4 per cell]
H 0.045 0.378 0.678 [16 per cell]
N 0.000 0.250 0.625 [4 per cell]
O 0.121 0.054 0.211 [16 per cell]


ReHN2O | SCAN | single point on PBEsol structure

Results
Raw total energy = -96.591 eV for the cell shown

Cell lengths 3.853, 3.853, 3.780 Å; angles 90.00, 90.00, 90.00 degrees
Space group P4/mmm (No. 123)
Inequivalent atoms, fractional coordinates:
Re 0.000 0.000 0.000 [1 per cell]
H 0.500 0.500 0.500 [1 per cell]
N 0.000 0.500 0.000 [2 per cell]
O 0.000 0.000 0.500 [1 per cell]


SmH8S3N3O10 | SCAN | single point on PBEsol structure

Results
Raw total energy = -448.218 eV for the cell shown

Cell lengths 6.721, 9.240, 9.261 Å; angles 69.98, 83.19, 75.13 degrees
Space group P-1 (No. 2)
Inequivalent atoms, fractional coordinates:
Sm 0.134 0.087 0.188 [2 per cell]
H 0.028 0.371 0.775 [2 per cell]
H 0.171 0.562 0.341 [2 per cell]
H 0.186 0.414 0.161 [2 per cell]
H 0.342 0.357 0.030 [2 per cell]
H 0.373 0.255 0.547 [2 per cell]
H 0.413 0.313 0.695 [2 per cell]
H 0.430 0.810 0.694 [2 per cell]
H 0.463 0.614 0.728 [2 per cell]
S 0.228 0.757 0.551 [2 per cell]
S 0.259 0.697 0.106 [2 per cell]
S 0.302 0.092 0.783 [2 per cell]
N 0.128 0.576 0.232 [2 per cell]
N 0.322 0.261 0.656 [2 per cell]
N 0.439 0.724 0.644 [2 per cell]
O 0.045 0.765 0.657 [2 per cell]
O 0.154 0.039 0.722 [2 per cell]
O 0.171 0.733 0.957 [2 per cell]
O 0.223 0.913 0.434 [2 per cell]
O 0.225 0.137 0.921 [2 per cell]
O 0.237 0.328 0.113 [2 per cell]
O 0.237 0.840 0.148 [2 per cell]
O 0.259 0.626 0.493 [2 per cell]
O 0.472 0.604 0.120 [2 per cell]
O 0.497 0.971 0.809 [2 per cell]


Sn2H22S6N4O3 | SCAN | single point on PBEsol structure

Results
Raw total energy = -1130.088 eV for the cell shown

Cell lengths 8.515, 8.515, 22.308 Å; angles 90.00, 90.00, 90.00 degrees
Space group P4_12_12 (No. 92)
Inequivalent atoms, fractional coordinates:
Sn 0.029 0.037 0.075 [8 per cell]
H 0.001 0.645 0.770 [8 per cell]
H 0.014 0.645 0.315 [8 per cell]
H 0.033 0.542 0.656 [8 per cell]
H 0.041 0.647 0.157 [8 per cell]
H 0.057 0.423 0.719 [8 per cell]
H 0.063 0.163 0.260 [8 per cell]
H 0.079 0.904 0.286 [8 per cell]
H 0.101 0.667 0.062 [8 per cell]
H 0.114 0.657 0.903 [8 per cell]
H 0.152 0.315 0.223 [8 per cell]
H 0.171 0.303 0.300 [8 per cell]
S 0.117 0.117 0.500 [4 per cell]
S 0.131 0.799 0.633 [8 per cell]
S 0.146 0.802 0.376 [8 per cell]
S 0.182 0.182 0.000 [4 per cell]
N 0.050 0.427 0.671 [8 per cell]
N 0.096 0.283 0.263 [8 per cell]
O 0.038 0.962 0.250 [4 per cell]
O 0.063 0.424 0.794 [8 per cell]